HfScV2 (GGA-PBE, relaxed); energy = -7.895 eV per atom; ΔE_f = 736 meV/atom; DOS at the Fermi energy = 1.30 states/eV per atom; relative energy among the computed polymorphs = 182.8 kJ/mol of formula units
1.0
-3.585 3.585 2.844
3.585 -3.585 2.844
3.585 3.585 -2.844
Hf Sc V
2 2 4
Cartesian
0.000 0.000 0.000
0.000 3.585 1.422
3.585 0.000 1.422
0.000 0.000 2.844
1.792 -1.774 2.133
1.811 1.792 0.711
1.792 5.359 -0.711
1.774 1.792 3.555